[1]
LiTe3: relaxed, PBE.

a = 4.2607 Å, b = 4.4514 Å, c = 6.7697 Å
α = 109.19°, β = 108.34°, γ = 90.00°
With the nearest neighbours (Å) after each atom.
Element x y z (fractional)
Li 0.0000 0.9189 0.0000  8 Te 3.01-3.09
Te 0.3235 0.7390 0.6471  2 Li 3.01, 2 Te 3.07-3.08
Te 0.5000 0.4168 0.0000  4 Li 3.07-3.09, 4 Te 3.07-3.08
Te 0.6765 0.0919 0.3529  2 Li 3.01, 2 Te 3.07-3.08

* energy relative to the lowest polymorph listed for this composition: 161 meV per atom
* total magnetization: 0.000 μB per formula unit
* DOS(E_F): 2.4 states/eV per cell
* raw total energy: -12.30 eV for the cell shown
* space-group type: Imm2, No. 44
* formation energy from raw total energies: -0.241 eV per atom

---

[2]
Li2Te: relaxed, PBE.

a = 4.9019 Å, b = 4.9019 Å, c = 4.9019 Å
α = 131.86°, β = 131.86°, γ = 70.46°
With the nearest neighbours (Å) after each atom.
Element x y z (fractional)
Li 0.6578 0.6578 0.0000  1 Li 2.53, 1 Te 2.74
Li 0.3422 0.3422 0.0000  1 Li 2.53, 1 Te 2.74
Te 0.0000 0.0000 0.0000  2 Li 2.74

* energy relative to the lowest polymorph listed for this composition: 206 meV per atom
* total magnetization: 0.000 μB per formula unit
* raw total energy: -9.46 eV for the cell shown
* space-group type: I4/mmm, No. 139
* formation energy from raw total energies: -0.829 eV per atom

---

[3]
Li5Te2: relaxed, PBE.

a = 5.9582 Å, b = 7.0019 Å, c = 8.1852 Å
α = 115.32°, β = 111.34°, γ = 90.00°
With the nearest neighbours (Å) after each atom.
Element x y z (fractional)
Li 0.9176 0.7613 0.8352  4 Te 2.81-3.08, 5 Li 3.04-3.13
Te 0.8772 0.1140 0.7543  10 Li 2.79-3.08
Li 0.0179 0.2679 0.5359  4 Te 2.79-2.97, 4 Li 2.98-3.12
Li 0.9821 0.7321 0.4641  4 Te 2.79-2.97, 4 Li 2.98-3.12
Te 0.6228 0.3597 0.2457  10 Li 2.79-3.08
Li 0.5179 0.2679 0.5359  4 Te 2.79-2.97, 4 Li 2.98-3.12
Li 0.4176 0.0740 0.8352  4 Te 2.81-3.08, 5 Li 3.04-3.13
Li 0.4821 0.7321 0.4641  4 Te 2.79-2.97, 4 Li 2.98-3.12
Te 0.1228 0.8860 0.2457  10 Li 2.79-3.08
Li 0.5824 0.9260 0.1648  4 Te 2.81-3.08, 5 Li 3.04-3.13
Li 0.7500 0.5000 0.0000  4 Te 2.90, 8 Li 2.98-3.14
Te 0.3772 0.6403 0.7543  10 Li 2.79-3.08
Li 0.0824 0.2387 0.1648  4 Te 2.81-3.08, 5 Li 3.04-3.13
Li 0.2500 0.5000 0.0000  4 Te 2.90, 8 Li 2.98-3.14

* total magnetization: 0.363 μB per formula unit
* DOS(E_F): 4.9 states/eV per cell
* raw total energy: -42.34 eV for the cell shown
* space-group type: Ibam, No. 72
* formation energy from raw total energies: -0.760 eV per atom

---

[4]
Li3Te5: relaxed, PBE.

a = 6.4424 Å, b = 6.4424 Å, c = 5.1179 Å
α = 90.00°, β = 90.00°, γ = 104.35°
With the nearest neighbours (Å) after each atom.
Element x y z (fractional)
Te 0.0000 0.5000 0.0000  2 Li 3.22, 6 Te 3.22-3.28
Li 0.8035 0.8035 0.5000  4 Te 2.99-3.13, 1 Li 3.11
Li 0.1965 0.1965 0.5000  4 Te 2.99-3.13, 1 Li 3.11
Te 0.0000 0.0000 0.0000  4 Li 2.99, 4 Te 3.22
Te 0.3021 0.6979 0.5000  6 Li 3.13-3.44, 4 Te 3.28
Te 0.5000 0.0000 0.0000  6 Te 3.22-3.28, 2 Li 3.22
Li 0.5000 0.5000 0.0000  8 Te 3.22-3.26, 4 Li 3.51
Te 0.6979 0.3021 0.5000  6 Li 3.13-3.44, 4 Te 3.28

* energy relative to the lowest polymorph listed for this composition: 0 meV per atom
* total magnetization: 0.000 μB per formula unit
* DOS(E_F): 2.7 states/eV per cell
* raw total energy: -24.47 eV for the cell shown
* space-group type: Cmmm, No. 65
* formation energy from raw total energies: -0.377 eV per atom

---

[5]
Li2Te: relaxed, PBE.

a = 5.5665 Å, b = 5.5665 Å, c = 5.5665 Å
α = 60.00°, β = 60.00°, γ = 60.00°
With the nearest neighbours (Å) after each atom.
Element x y z (fractional)
Li 0.1250 0.1250 0.6250  6 Li 2.78
Li 0.6250 0.1250 0.1250  6 Li 2.78
Li 0.1250 0.1250 0.1250  6 Li 2.78
Te 0.5000 0.5000 0.5000  12 Li 3.26, 4 Te 3.41
Li 0.1250 0.6250 0.1250  6 Li 2.78
Te 0.7500 0.7500 0.7500  12 Li 3.26, 4 Te 3.41

* energy relative to the lowest polymorph listed for this composition: 678 meV per atom
* total magnetization: 0.003 μB per formula unit
* DOS(E_F): 1.6 states/eV per cell
* raw total energy: -16.08 eV for the cell shown
* space-group type: Fd-3m, No. 227
* formation energy from raw total energies: -0.357 eV per atom

---

[6]
LiTe3: relaxed, PBE.

a = 3.5964 Å, b = 5.4462 Å, c = 5.4744 Å
α = 90.00°, β = 90.00°, γ = 90.00°
With the nearest neighbours (Å) after each atom.
Element x y z (fractional)
Te 0.5000 0.5000 0.9162  4 Li 3.26, 6 Te 3.27-3.60
Te 0.5000 0.0000 0.4163  4 Li 3.26-3.29, 6 Te 3.26-3.60
Te 0.0000 0.5000 0.4150  10 Te 3.26-3.60
Li 0.0000 0.0000 0.9191  8 Te 3.26-3.29, 2 Li 3.60

* energy relative to the lowest polymorph listed for this composition: 289 meV per atom
* total magnetization: 0.000 μB per formula unit
* DOS(E_F): 2.5 states/eV per cell
* raw total energy: -11.79 eV for the cell shown
* space-group type: Pmm2, No. 25
* formation energy from raw total energies: -0.113 eV per atom

---

[7]
LiTe3: relaxed, PBE.

a = 6.3634 Å, b = 3.1430 Å, c = 6.0723 Å
α = 78.85°, β = 90.00°, γ = 90.00°
With the nearest neighbours (Å) after each atom.
Element x y z (fractional)
Te 0.5000 0.4804 0.2437  4 Te 2.94-3.14
Te 0.0000 0.5000 0.5000  2 Li 3.14, 2 Te 3.14
Te 0.5000 0.5196 0.7563  4 Te 2.94-3.14
Li 0.0000 0.0000 0.0000  2 Te 3.14, 2 Li 3.14

* energy relative to the lowest polymorph listed for this composition: 323 meV per atom
* total magnetization: 0.000 μB per formula unit
* DOS(E_F): 2.2 states/eV per cell
* raw total energy: -11.66 eV for the cell shown
* space-group type: P2/m, No. 10
* formation energy from raw total energies: -0.079 eV per atom

---

[8]
Li2Te: relaxed, PBE.

a = 4.4067 Å, b = 4.4067 Å, c = 3.8559 Å
α = 90.00°, β = 90.00°, γ = 90.00°
With the nearest neighbours (Å) after each atom.
Element x y z (fractional)
Li 0.0000 0.5000 0.5000  4 Te 2.93, 4 Li 3.12
Li 0.5000 0.0000 0.5000  4 Te 2.93, 4 Li 3.12
Te 0.0000 0.0000 0.0000  8 Li 2.93

* energy relative to the lowest polymorph listed for this composition: 278 meV per atom
* total magnetization: 0.000 μB per formula unit
* DOS(E_F): 0.3 states/eV per cell
* raw total energy: -9.24 eV for the cell shown
* space-group type: P4/mmm, No. 123
* formation energy from raw total energies: -0.756 eV per atom

---

[9]
LiTe3: relaxed, PBE.

a = 5.3622 Å, b = 5.3622 Å, c = 5.3622 Å
α = 60.00°, β = 60.00°, γ = 60.00°
With the nearest neighbours (Å) after each atom.
Element x y z (fractional)
Li 0.0000 0.0000 0.0000  8 Te 3.28
Te 0.2500 0.2500 0.2500  4 Li 3.28, 4 Te 3.28
Te 0.5000 0.5000 0.5000  8 Te 3.28
Te 0.7500 0.7500 0.7500  4 Li 3.28, 4 Te 3.28

* energy relative to the lowest polymorph listed for this composition: 450 meV per atom
* total magnetization: 0.000 μB per formula unit
* DOS(E_F): 4.6 states/eV per cell
* raw total energy: -11.15 eV for the cell shown
* space-group type: Fm-3m, No. 225
* formation energy from raw total energies: 0.048 eV per atom

---

[10]
LiTe3: relaxed, PBE.

a = 8.5165 Å, b = 7.2059 Å, c = 7.8552 Å
α = 90.00°, β = 90.00°, γ = 90.00°
With the nearest neighbours (Å) after each atom.
Element x y z (fractional)
Te 0.6829 0.5444 0.2500  4 Te 2.96-3.04
Li 0.1227 0.6398 0.2500  6 Te 2.97-3.31
Te 0.1277 0.2608 0.4891  2 Te 2.96-3.04, 3 Li 2.97-3.31
Te 0.8171 0.0444 0.2500  4 Te 2.96-3.04
Te 0.6277 0.2392 0.9891  2 Te 2.96-3.04, 3 Li 2.97-3.31
Te 0.3723 0.7608 0.4891  2 Te 2.96-3.04, 3 Li 2.97-3.31
Te 0.8723 0.7392 0.9891  2 Te 2.96-3.04, 3 Li 2.97-3.31
Te 0.3171 0.4556 0.7500  4 Te 2.96-3.04
Li 0.3773 0.1398 0.2500  6 Te 2.97-3.31
Li 0.8773 0.3602 0.7500  6 Te 2.97-3.31
Li 0.6227 0.8602 0.7500  6 Te 2.97-3.31
Te 0.8723 0.7392 0.5109  2 Te 2.96-3.04, 3 Li 2.97-3.31
Te 0.1829 0.9556 0.7500  4 Te 2.96-3.04
Te 0.1277 0.2608 0.0109  2 Te 2.96-3.04, 3 Li 2.97-3.31
Te 0.6277 0.2392 0.5109  2 Te 2.96-3.04, 3 Li 2.97-3.31
Te 0.3723 0.7608 0.0109  2 Te 2.96-3.04, 3 Li 2.97-3.31

* energy relative to the lowest polymorph listed for this composition: 175 meV per atom
* total magnetization: 0.000 μB per formula unit
* DOS(E_F): 8.4 states/eV per cell
* raw total energy: -48.99 eV for the cell shown
* space-group type: Pnma, No. 62
* formation energy from raw total energies: -0.227 eV per atom

---

[11]
Li3Te: relaxed, PBE.

a = 3.8745 Å, b = 3.8613 Å, c = 6.9260 Å
α = 56.31°, β = 90.00°, γ = 90.00°
With the nearest neighbours (Å) after each atom.
Element x y z (fractional)
Li 0.0000 0.5283 0.4685  1 Li 2.52
Li 0.0000 0.9717 0.0315  1 Li 2.52
Li 0.5000 0.7500 0.7500  2 Te 2.88, 8 Li 3.18
Te 0.5000 0.2500 0.2500  10 Li 2.88-3.02

* energy relative to the lowest polymorph listed for this composition: 209 meV per atom
* total magnetization: 0.000 μB per formula unit
* DOS(E_F): 1.9 states/eV per cell
* raw total energy: -10.88 eV for the cell shown
* space-group type: P2/m, No. 10
* formation energy from raw total energies: -0.498 eV per atom

---

[12]
Li3Te: relaxed, PBE.

a = 5.3472 Å, b = 5.3472 Å, c = 5.3472 Å
α = 90.00°, β = 90.00°, γ = 90.00°
With the nearest neighbours (Å) after each atom.
Element x y z (fractional)
Te 0.0000 0.0000 0.0000  6 Li 2.67
Li 0.0000 0.5000 0.0000  2 Te 2.67
Li 0.5000 0.0000 0.0000  2 Te 2.67
Li 0.0000 0.0000 0.5000  2 Te 2.67

* energy relative to the lowest polymorph listed for this composition: 292 meV per atom
* total magnetization: 0.721 μB per formula unit
* DOS(E_F): 1.7 states/eV per cell
* raw total energy: -10.54 eV for the cell shown
* space-group type: Pm-3m, No. 221
* formation energy from raw total energies: -0.415 eV per atom